Below is crystalline HoPb6 at its relaxed geometry, with properties calculated at the PBE level.

The volume is 44.41 Å³ per atom. As for the total magnetization: 0.0 Bohr magnetons per cell. The density comes out at 7.5 g/cm³. The density of states at the Fermi level is 1.010 states/eV per atom. The total energy is -44.610 eV/cell.

It has space group Im-3m (No. 229), with a = 8.5348 Å, b = 8.5348 Å, c = 8.5348 Å, α = 90.00°, β = 90.00° and γ = 90.00°. The asymmetric unit holds Ho at (0.0000, 0.0000, 0.0000) and Pb at (0.0000, 0.2500, 0.5000).